DFT (PBE) results for an optimized crystal structure of MgPb2Br.

POSCAR file:
```
MgPb2Br
1.0
7.8522 1.2745 -0.2130
4.9094 6.2594 0.2130
-5.8446 -4.6752 2.7038
Br Mg Pb
1 1 2
Direct
0.7500 0.2500 0.5000 Br
0.2500 0.7500 0.5000 Mg
0.0567 0.0567 0.0000 Pb
0.4433 0.4433 0.0000 Pb
```

Symmetry ... Immm (71)
Total magnetic moment ... 0.000 μB/f.u.
ΔE_f (raw) ... -25.50 kJ/mol of atoms
Offset from the most stable computed form ... 83 meV/atom
Final energy ... -2.94 eV per atom